VASP calculation (PBE-GGA) on Rb2CdAsH after structural relaxation.

## Properties
Space group = P2_1/m (11)
Total magnetization = 0.0000 μB/atom
Raw total energy = -24.7 eV for the cell shown

Cell lengths 7.4687, 4.5182, 10.0659 Å; angles 90.00, 109.77, 90.00 degrees
Closest atoms and distances in Å follow each position.
Positions (direct):
1 Rb 0.1786 0.2500 0.4043  2 H 3.24, 1 Cd 3.62
2 Rb 0.2254 0.2500 0.9516  1 H 2.91
3 Rb 0.7746 0.7500 0.0484  1 H 2.91
4 Rb 0.8214 0.7500 0.5957  2 H 3.24, 1 Cd 3.62
5 Cd 0.4577 0.7500 0.2504  1 H 1.90
6 Cd 0.5423 0.2500 0.7496  1 H 1.90
7 As 0.3474 0.7500 0.7098  2 Cd 2.64
8 As 0.6526 0.2500 0.2902  2 Cd 2.64
9 H 0.1874 0.7500 0.1755  1 Cd 1.90
10 H 0.8126 0.2500 0.8245  1 Cd 1.90

***

VASP calculation (PBE-GGA) on Mg2MoPb after structural relaxation.

## Properties
Space group = Cmmm (65)
Total magnetization = 0.0000 μB/atom
Energy of formation = 0.384 eV/atom
Raw total energy = -16.2 eV for the cell shown

Cell lengths 5.4365, 5.4365, 3.0411 Å; angles 90.00, 90.00, 114.84 degrees
Closest atoms and distances in Å follow each position.
Positions (direct):
1 Mg 0.0000 0.5000 0.0000  4 Mg 2.93-3.04, 4 Pb 3.11, 4 Mo 3.11
2 Mg 0.5000 0.0000 0.0000  4 Mg 2.93-3.04, 4 Mo 3.11, 4 Pb 3.11
3 Mo 0.0000 0.0000 0.5000  2 Pb 2.93, 2 Mo 3.04, 8 Mg 3.11
4 Pb 0.5000 0.5000 0.5000  2 Mo 2.93, 2 Pb 3.04, 8 Mg 3.11

***

VASP calculation (PBE-GGA) on NbVCr after structural relaxation.

## Properties
Space group = P3m1 (156)
Total magnetization = 0.0001 μB/atom
Energy of formation = 0.069 eV/atom
Raw total energy = -28.6 eV for the cell shown

Cell lengths 4.2608, 4.2608, 2.7659 Å; angles 90.00, 90.00, 120.00 degrees
Closest atoms and distances in Å follow each position.
Positions (direct):
1 Nb 0.0000 0.0000 0.0000  3 Cr 2.62, 3 V 2.65, 2 Nb 2.77
2 V 0.6667 0.3333 0.6431  3 Cr 2.61, 3 Nb 2.65, 2 V 2.77
3 Cr 0.3333 0.6667 0.3261  3 V 2.61, 3 Nb 2.62, 2 Cr 2.77

***

Please write out number 1 again, unchanged.
VASP calculation (PBE-GGA) on Rb2CdAsH after structural relaxation.

## Properties
Space group = P2_1/m (11)
Total magnetization = 0.0000 μB/atom
Raw total energy = -24.7 eV for the cell shown

Cell lengths 7.4687, 4.5182, 10.0659 Å; angles 90.00, 109.77, 90.00 degrees
Closest atoms and distances in Å follow each position.
Positions (direct):
1 Rb 0.1786 0.2500 0.4043  2 H 3.24, 1 Cd 3.62
2 Rb 0.2254 0.2500 0.9516  1 H 2.91
3 Rb 0.7746 0.7500 0.0484  1 H 2.91
4 Rb 0.8214 0.7500 0.5957  2 H 3.24, 1 Cd 3.62
5 Cd 0.4577 0.7500 0.2504  1 H 1.90
6 Cd 0.5423 0.2500 0.7496  1 H 1.90
7 As 0.3474 0.7500 0.7098  2 Cd 2.64
8 As 0.6526 0.2500 0.2902  2 Cd 2.64
9 H 0.1874 0.7500 0.1755  1 Cd 1.90
10 H 0.8126 0.2500 0.8245  1 Cd 1.90

***

Q: Among the records above, which one has the highest total magnetization?
A: NbVCr

***

Q: total magnetization of number 2 (Mg2MoPb)?
A: 0.0000 μB/atom

***

Copy entry 3 word for word.
VASP calculation (PBE-GGA) on NbVCr after structural relaxation.

## Properties
Space group = P3m1 (156)
Total magnetization = 0.0001 μB/atom
Energy of formation = 0.069 eV/atom
Raw total energy = -28.6 eV for the cell shown

Cell lengths 4.2608, 4.2608, 2.7659 Å; angles 90.00, 90.00, 120.00 degrees
Closest atoms and distances in Å follow each position.
Positions (direct):
1 Nb 0.0000 0.0000 0.0000  3 Cr 2.62, 3 V 2.65, 2 Nb 2.77
2 V 0.6667 0.3333 0.6431  3 Cr 2.61, 3 Nb 2.65, 2 V 2.77
3 Cr 0.3333 0.6667 0.3261  3 V 2.61, 3 Nb 2.62, 2 Cr 2.77